The following is a DFT calculation (PBE with a Hubbard U) of a geometry-optimized LaMnO3 structure.

Cell: 5.0988 5.3684 5.5029 Å, 119.13 103.48 90.02°
Space group P-1 (No. 2)
Asymmetric unit:
La 0.2153 0.1795 0.3587 x2
Mn 0.0000 0.5000 0.0000 x1
Mn 0.5000 0.5000 0.0000 x1
O 0.2003 0.1762 0.8327 x2
O 0.2001 0.6542 0.8303 x2
O 0.3389 0.6664 0.3314 x2

Output
Uncorrected energy   -7.694 eV per atom
Magnetization   2.00 μB/f.u.